(1)
Here is an optimized crystal structure of LiLaDy2In4 from the Alexandria database. Energies are from GGA-PBE.

Values from the calculation:
The mass density comes out at 7.2 g/cm3. As for the volume: 214 Å³ per cell. The electronic total energy is -3.786 eV per atom.

Lattice parameters (Å, degrees): 9.4327 9.4327 9.4327 32.42 32.42 32.42
Closest atoms and distances in Å follow each position.
Fractional coordinates of all 8 atoms:
Li: 0.0000 0.0000 0.0000  8 In 3.21
La: 0.5000 0.5000 0.5000  8 In 3.29-3.44
Dy: 0.2546 0.2546 0.2546  7 In 3.14-3.23
Dy: 0.7454 0.7454 0.7454  7 In 3.14-3.23
In: 0.1197 0.1197 0.1197  1 Li 3.21, 3 Dy 3.23, 3 La 3.29
In: 0.3718 0.3718 0.3718  4 Dy 3.14-3.23, 3 Li 3.21, 1 La 3.44
In: 0.6282 0.6282 0.6282  4 Dy 3.14-3.23, 3 Li 3.21, 1 La 3.44
In: 0.8803 0.8803 0.8803  1 Li 3.21, 3 Dy 3.23, 3 La 3.29


(2)
Here is an optimized crystal structure of YCoCu2 from the Alexandria database. Energies are from GGA-PBE.

Values from the calculation:
The mass density comes out at 6.9 g/cm3. As for the volume: 66 Å³ per cell. As for the offset from the most stable computed form: 581 meV/atom.

Lattice parameters (Å, degrees): 8.7123 8.7123 8.7123 19.72 19.72 19.72
Closest atoms and distances in Å follow each position.
Fractional coordinates of all 4 atoms:
Y: 0.0000 0.0000 0.0000  6 Y 2.98, 6 Cu 2.99
Co: 0.5000 0.5000 0.5000  6 Cu 2.51
Cu: 0.2378 0.2378 0.2378  3 Co 2.51
Cu: 0.7622 0.7622 0.7622  3 Co 2.51


(3)
Here is an optimized crystal structure of ErPd3Pt2 from the Alexandria database. Energies are from GGA-PBE.

Values from the calculation:
The mass density comes out at 14.6 g/cm3. As for the volume: 200 Å³ per cell. As for the offset from the most stable computed form: 0 meV/atom.

Lattice parameters (Å, degrees): 7.8240 7.8240 7.8240 42.75 42.75 42.75
Closest atoms and distances in Å follow each position.
Fractional coordinates of all 12 atoms:
Er: 0.2195 0.2195 0.2195  9 Pd 2.85-2.87, 3 Pt 2.93
Er: 0.7805 0.7805 0.7805  9 Pd 2.85-2.87, 3 Pt 2.93
Pd: 0.2285 0.7212 0.7212  6 Pd 2.81-2.92, 3 Pt 2.85-2.87, 3 Er 2.85-2.87
Pd: 0.2788 0.2788 0.7715  6 Pd 2.81-2.92, 3 Pt 2.85-2.87, 3 Er 2.85-2.87
Pd: 0.2788 0.7715 0.2788  6 Pd 2.81-2.92, 3 Pt 2.85-2.87, 3 Er 2.85-2.87
Pd: 0.7212 0.2285 0.7212  6 Pd 2.81-2.92, 3 Pt 2.85-2.87, 3 Er 2.85-2.87
Pd: 0.7212 0.7212 0.2285  6 Pd 2.81-2.92, 3 Pt 2.85-2.87, 3 Er 2.85-2.87
Pd: 0.7715 0.2788 0.2788  6 Pd 2.81-2.92, 3 Pt 2.85-2.87, 3 Er 2.85-2.87
Pt: 0.0000 0.0000 0.0000  6 Pt 2.85, 6 Pd 2.87
Pt: 0.0000 0.5000 0.5000  4 Pd 2.85, 6 Pt 2.85, 2 Er 2.93
Pt: 0.5000 0.0000 0.5000  4 Pd 2.85, 6 Pt 2.85, 2 Er 2.93
Pt: 0.5000 0.5000 0.0000  4 Pd 2.85, 6 Pt 2.85, 2 Er 2.93


(4)
Here is an optimized crystal structure of Tb3ScCo8 from the Alexandria database. Energies are from GGA-PBE.

Values from the calculation:
The mass density comes out at 9.2 g/cm3. As for the volume: 180 Å³ per cell. The electronic total energy is -6.639 eV per atom.

Lattice parameters (Å, degrees): 8.7260 8.7260 8.7260 33.50 33.50 33.50
Closest atoms and distances in Å follow each position.
Fractional coordinates of all 12 atoms:
Tb: 0.0000 0.0000 0.0000  12 Co 2.95-3.00, 4 Tb 3.10-3.11
Tb: 0.1261 0.1261 0.1261  12 Co 2.89-2.95, 3 Sc 3.07, 1 Tb 3.11
Tb: 0.6232 0.6232 0.6232  12 Co 2.95-3.03, 1 Sc 3.05, 3 Tb 3.10
Sc: 0.4995 0.4995 0.4995  12 Co 2.90-2.94, 4 Tb 3.05-3.07
Co: 0.0615 0.0615 0.5588  6 Co 2.48-2.55
Co: 0.0615 0.5588 0.0615  6 Co 2.48-2.55
Co: 0.0674 0.5624 0.5624  6 Co 2.49-2.55
Co: 0.3122 0.3122 0.3122  6 Co 2.55
Co: 0.5588 0.0615 0.0615  6 Co 2.48-2.55
Co: 0.5624 0.0674 0.5624  6 Co 2.49-2.55
Co: 0.5624 0.5624 0.0674  6 Co 2.49-2.55
Co: 0.8129 0.8129 0.8129  6 Co 2.48-2.50